Computed, not measured: a relaxed NaAc2SeO6 crystal at the PBE level of DFT.

abc: 5.764 8.152 5.764
angles: 90.00 90.00 90.00
Element x y z (fractional)
1 Na 0.250 0.250 0.250
2 Na 0.750 0.750 0.750
3 Ac 0.250 0.000 0.750
4 Ac 0.250 0.500 0.750
5 Ac 0.750 0.000 0.250
6 Ac 0.750 0.500 0.250
7 Se 0.250 0.750 0.250
8 Se 0.750 0.250 0.750
9 O 0.014 0.750 0.014
10 O 0.014 0.750 0.485
11 O 0.250 0.514 0.249
12 O 0.250 0.986 0.249
13 O 0.486 0.750 0.014
14 O 0.486 0.750 0.485
15 O 0.514 0.250 0.515
16 O 0.514 0.250 0.986
17 O 0.750 0.014 0.751
18 O 0.750 0.486 0.751
19 O 0.986 0.250 0.515
20 O 0.986 0.250 0.986

uncorrected formation energy = -2.1171 eV/atom
calculated density = 7993 kg/m³
V = 13.5 A^3/atom
DOS at the Fermi energy = 6.9 states/eV/cell